Entry from the Alexandria database: a geometry-optimized SrCa3Se structure (GGA-PBE).

a = 5.8561 Å, b = 5.8561 Å, c = 5.8561 Å
α = 90.00°, β = 90.00°, γ = 90.00°
Fractional positions:
Sr  0.5000  0.5000  0.5000
Ca  0.0000  0.0000  0.5000
Ca  0.0000  0.5000  0.0000
Ca  0.5000  0.0000  0.0000
Se  0.0000  0.0000  0.0000

Output
N(E_F): 1.9 states/eV per cell
polymorph energy (0 for the lowest one): 0 meV/atom
calculated volume: 201 Å³ per cell



Entry from the Alexandria database: a geometry-optimized Ho5H2Pb5 structure (GGA-PBE).

a = 4.3872 Å, b = 6.1404 Å, c = 11.5290 Å
α = 92.30°, β = 90.00°, γ = 110.93°
Fractional positions:
Pb  0.3490  0.6981  0.8812
Pb  0.7787  0.5573  0.3887
Pb  0.5000  0.0000  0.5000
Pb  0.6510  0.3019  0.1188
Pb  0.2213  0.4427  0.6113
Ho  0.0000  0.0000  0.0000
Ho  0.3503  0.7006  0.1852
Ho  0.0659  0.1319  0.3138
Ho  0.9341  0.8681  0.6862
Ho  0.6497  0.2994  0.8148
H  0.0743  0.1486  0.8260
H  0.9257  0.8514  0.1740

Output
N(E_F): 5.3 states/eV per cell
total energy: -53.4 eV for the cell shown
calculated volume: 290 Å³ per cell



Entry from the Alexandria database: a geometry-optimized Ba5Cd2Pb structure (GGA-PBE).

a = 8.8458 Å, b = 8.8458 Å, c = 11.1934 Å
α = 113.27°, β = 113.27°, γ = 90.00°
Fractional positions:
Pb  0.7500  0.7500  0.5000
Pb  0.2500  0.2500  0.5000
Ba  0.0290  0.5290  0.7015
Ba  0.8275  0.9710  0.2985
Ba  0.5290  0.6725  0.7015
Ba  0.5000  0.5000  0.0000
Ba  0.1725  0.0290  0.7015
Ba  0.0000  0.0000  0.0000
Ba  0.3275  0.8275  0.2985
Ba  0.9710  0.4710  0.2985
Ba  0.6725  0.1725  0.7015
Ba  0.4710  0.3275  0.2985
Cd  0.8836  0.6164  0.0000
Cd  0.3836  0.8836  0.0000
Cd  0.1164  0.3836  0.0000
Cd  0.6164  0.1164  0.0000

Output
N(E_F): 18.6 states/eV per cell
ΔH_f (0 K): -250 kJ/mol of formula units
calculated volume: 726 Å³ per cell



Entry from the Alexandria database: a geometry-optimized Rb3AuBr4 structure (GGA-PBE).

a = 5.8147 Å, b = 10.2620 Å, c = 11.2249 Å
α = 90.00°, β = 90.00°, γ = 90.00°
Fractional positions:
Br  0.0645  0.2433  0.7835
Br  0.5645  0.7567  0.7165
Br  0.5641  0.4905  0.0000
Br  0.5645  0.7567  0.2835
Br  0.0644  0.8642  0.0000
Br  0.0641  0.5095  0.5000
Br  0.0645  0.2433  0.2165
Br  0.5644  0.1358  0.5000
Rb  0.5644  0.0164  0.0000
Rb  0.5645  0.3902  0.6805
Rb  0.5645  0.3902  0.3195
Rb  0.0645  0.6098  0.1805
Rb  0.0644  0.9836  0.5000
Rb  0.0645  0.6098  0.8195
Au  0.0645  0.2486  0.0000
Au  0.5645  0.7514  0.5000

Output
N(E_F): 0.0 states/eV per cell
total energy: -46.1 eV for the cell shown
calculated volume: 670 Å³ per cell



Question: Among the records above, which one has the lowest calculated volume?
Answer: SrCa3Se